(1)
# RbBa2Cd9

A relaxed structure of RbBa2Cd9 (GGA-PBE, Alexandria via LeMat-Bulk).

a b c (Å): 6.4480 6.4480 10.6562
angles (deg): 72.39 72.39 60.00
Positions (direct):
Rb  0.0000  0.0000  0.0000
Ba  0.8566  0.8566  0.4300
Ba  0.1434  0.1434  0.5700
Cd  0.6646  0.6646  0.0061
Cd  0.3354  0.3354  0.9939
Cd  0.5000  0.5000  0.5000
Cd  0.4141  0.4141  0.2479
Cd  0.9239  0.4141  0.2479
Cd  0.4141  0.9239  0.2479
Cd  0.5859  0.5859  0.7521
Cd  0.5859  0.0761  0.7521
Cd  0.0761  0.5859  0.7521

## Properties
Symmetry: No. 166
DFT formation energy, meV per atom: -182.6
Density, Mg/m³: 6.34

=====

(2)
# MgP3W

A relaxed structure of MgP3W (GGA-PBE, Alexandria via LeMat-Bulk).

a b c (Å): 4.5654 4.5654 4.5654
angles (deg): 90.00 90.00 90.00
Positions (direct):
P  0.0000  0.5000  0.0000
P  0.0000  0.0000  0.5000
P  0.5000  0.0000  0.0000
Mg  0.0000  0.0000  0.0000
W  0.5000  0.5000  0.5000

## Properties
Symmetry: No. 221
DFT formation energy, meV per atom: 1721.0
Energy relative to the lowest polymorph listed for this composition, meV/atom: 1342
Density, Mg/m³: 5.25

=====

(3)
# PrGa4Ir

A relaxed structure of PrGa4Ir (GGA-PBE, Alexandria via LeMat-Bulk).

a b c (Å): 4.6970 4.6970 7.2223
angles (deg): 90.00 90.00 90.00
Positions (direct):
Pr  0.0000  0.0000  0.0000
Ga  0.5000  0.5000  0.8403
Ga  0.5000  0.5000  0.1597
Ga  0.5000  0.0000  0.5000
Ga  0.0000  0.5000  0.5000
Ir  0.5000  0.5000  0.5000

## Properties
Symmetry: No. 123
DFT formation energy, meV per atom: -113.5
Density, Mg/m³: 6.38

=====

(4)
# La6OsSe5

A relaxed structure of La6OsSe5 (GGA-PBE, Alexandria via LeMat-Bulk).

a b c (Å): 7.4648 7.5207 7.5054
angles (deg): 59.93 80.45 70.66
Positions (direct):
Os  0.0000  0.0000  0.0000
Se  0.5000  0.1744  0.6512
Se  0.0000  0.3343  0.3315
Se  0.5000  0.5000  0.0000
Se  0.0000  0.6657  0.6685
Se  0.5000  0.8256  0.3488
La  0.7622  0.0794  0.3146
La  0.2378  0.6059  0.3146
La  0.2383  0.2320  0.0000
La  0.7617  0.7680  0.0000
La  0.7622  0.3941  0.6854
La  0.2378  0.9206  0.6854

## Properties
Symmetry: No. 12
Raw formation energy, meV/atom: -1674
Density, Mg/m³: 6.85

=====

(5)
# ReSb2Cl

A relaxed structure of ReSb2Cl (GGA-PBE, Alexandria via LeMat-Bulk).

a b c (Å): 4.9032 4.9032 4.9032
angles (deg): 60.00 60.00 60.00
Positions (direct):
Re  0.5000  0.5000  0.5000
Cl  0.0000  0.0000  0.0000
Sb  0.2500  0.2500  0.2500
Sb  0.7500  0.7500  0.7500

## Properties
Symmetry: No. 225
Raw formation energy, meV/atom: 680
Energy relative to the lowest polymorph listed for this composition, meV/atom: 568
Density, Mg/m³: 9.27

=====

(6)
# AcSmCdHg

A relaxed structure of AcSmCdHg (GGA-PBE, Alexandria via LeMat-Bulk).

a b c (Å): 5.5745 5.5745 5.5745
angles (deg): 60.00 60.00 60.00
Positions (direct):
Ac  0.0000  0.0000  0.0000
Hg  0.2500  0.2500  0.2500
Sm  0.5000  0.5000  0.5000
Cd  0.7500  0.7500  0.7500

## Properties
Symmetry: No. 216
DFT formation energy, meV per atom: -352.7
Energy relative to the lowest polymorph listed for this composition, meV/atom: 26
Density, Mg/m³: 9.36

=====

(7)
# CrRh2Se

A relaxed structure of CrRh2Se (GGA-PBE, Alexandria via LeMat-Bulk).

a b c (Å): 5.0779 5.0779 5.0779
angles (deg): 142.55 130.91 63.33
Positions (direct):
Cr  0.2733  0.7733  0.5000
Rh  0.9959  0.9959  0.0000
Rh  0.7246  0.2246  0.5000
Se  0.5062  0.5062  0.0000

## Properties
Symmetry: No. 44
Raw formation energy, meV/atom: 61
Density, Mg/m³: 9.41

=====

(8)
# DyY4Ho6

A relaxed structure of DyY4Ho6 (GGA-PBE, Alexandria via LeMat-Bulk).

a b c (Å): 6.5403 6.5403 9.7219
angles (deg): 109.66 109.66 90.00
Positions (direct):
Dy  0.5000  0.5000  0.0000
Y  0.0456  0.6860  0.7316
Y  0.9544  0.9544  0.2684
Y  0.6860  0.0456  0.7316
Y  0.3140  0.3140  0.2684
Ho  0.8553  0.4853  0.3406
Ho  0.4853  0.8553  0.3406
Ho  0.5147  0.5147  0.6594
Ho  0.0000  0.5000  0.0000
Ho  0.1447  0.1447  0.6594
Ho  0.5000  0.0000  0.0000

## Properties
Symmetry: No. 121
DFT formation energy, meV per atom: 313.8
Density, Mg/m³: 6.84

=====

(9)
# MoAsPb2

A relaxed structure of MoAsPb2 (GGA-PBE, Alexandria via LeMat-Bulk).

a b c (Å): 3.6894 3.6894 6.5108
angles (deg): 90.00 90.00 90.00
Positions (direct):
Pb  0.0000  0.0000  0.9863
Pb  0.0000  0.0000  0.5137
Mo  0.5000  0.5000  0.7500
As  0.5000  0.5000  0.2500

## Properties
Symmetry: No. 123
DFT formation energy, meV per atom: 685.7
Density, Mg/m³: 10.97

=====

(10)
# Nd4CuNi3

A relaxed structure of Nd4CuNi3 (GGA-PBE, Alexandria via LeMat-Bulk).

a b c (Å): 3.8391 4.4247 10.5625
angles (deg): 90.00 90.00 90.00
Positions (direct):
Nd  0.5000  0.5000  0.3675
Nd  0.0000  0.5000  0.8549
Nd  0.0000  0.0000  0.1399
Nd  0.5000  0.0000  0.6370
Cu  0.5000  0.5000  0.0670
Ni  0.0000  0.5000  0.5723
Ni  0.0000  0.0000  0.4300
Ni  0.5000  0.0000  0.9314

## Properties
Symmetry: No. 25
DFT formation energy, meV per atom: -283.3
Density, Mg/m³: 7.56

=====

(11)
# BiIrPb

A relaxed structure of BiIrPb (GGA-PBE, Alexandria via LeMat-Bulk).

a b c (Å): 3.1583 8.0606 6.8869
angles (deg): 107.39 103.26 90.00
Positions (direct):
Bi  0.0303  0.7177  0.0606
Bi  0.9697  0.2823  0.9394
Ir  0.8282  0.4818  0.6564
Ir  0.1718  0.5182  0.3436
Pb  0.7928  0.8138  0.5855
Pb  0.2072  0.1862  0.4145

## Properties
Symmetry: No. 12
DFT formation energy, meV per atom: 210.2
Energy relative to the lowest polymorph listed for this composition, meV/atom: 89
Density, Mg/m³: 12.44

=====

(12)
# MgTaBO5

A relaxed structure of MgTaBO5 (GGA-PBE, Alexandria via LeMat-Bulk).

a b c (Å): 5.1506 5.1506 7.2245
angles (deg): 105.12 105.12 103.13
Positions (direct):
Mg  0.3470  0.6530  0.2500
Mg  0.6530  0.3470  0.7500
Ta  0.0000  0.0000  0.5000
Ta  0.0000  0.0000  0.0000
B  0.6772  0.3228  0.2500
B  0.3228  0.6772  0.7500
O  0.1009  0.8991  0.2500
O  0.8991  0.1009  0.7500
O  0.8886  0.3212  0.1431
O  0.1114  0.6788  0.8569
O  0.6788  0.1114  0.3569
O  0.3212  0.8886  0.6431
O  0.7307  0.6087  0.3997
O  0.2693  0.3913  0.6003
O  0.3913  0.2693  0.1003
O  0.6087  0.7307  0.8997

## Properties
Symmetry: No. 15
Raw formation energy, meV/atom: -2632
Density, Mg/m³: 5.80

=====

What is the density in the sixth record?
9.36 Mg/m³

=====

Which of these has the highest density?
BiIrPb

=====

Number 12 is which compound?
MgTaBO5